## PrMn2O5 (PBE+U)

Data for crystalline PrMn2O5 at its relaxed geometry.

Computed properties:
**Symmetry**: Cmcm (63)
**ΔE to the lowest computed polymorph**: 0.096 eV/atom
**E_tot**: -7.6243 eV per atom

Lattice parameters (Å, degrees): 4.2089 5.0735 9.6628 90.00 90.00 114.51
Site moments in Bohr magnetons follow the coordinates.
Positions (direct):
O1 0.9545 0.9090 0.8803  -0.11
Mn1 0.1497 0.2995 0.5511  3.62
O2 0.6581 0.3162 0.9662  -0.07
Mn2 0.1497 0.2995 0.9489  3.62
O3 0.7851 0.5701 0.2500  -0.01
Pr1 0.4719 0.9437 0.7500  0.01
O4 0.3419 0.6838 0.4662  -0.07
O5 0.0455 0.0910 0.3803  -0.11
Mn3 0.8503 0.7005 0.4489  3.62
O6 0.2149 0.4299 0.7500  -0.01
Mn4 0.8503 0.7005 0.0511  3.62
Pr2 0.5281 0.0563 0.2500  0.01
O7 0.3419 0.6838 0.0338  -0.07
O8 0.6581 0.3162 0.5338  -0.07
O9 0.9545 0.9090 0.6197  -0.11
O10 0.0455 0.0910 0.1197  -0.11